This record from the Alexandria database describes Be2Ga2Pt after structural relaxation. The functional is PBE.

The value obtained for the electronic total energy is -39.988 eV per cell. The symmetry is P4/mbm. The calculation puts the formation energy at -2.1 kcal/mol of atoms.

Cell: 6.056 6.056 3.597 Å, 90.00 90.00 90.00°
Fractional coordinates of all 10 atoms:
Ga 0.335 0.165 0.500
Ga 0.665 0.835 0.500
Ga 0.165 0.665 0.500
Ga 0.835 0.335 0.500
Be 0.632 0.132 0.000
Be 0.368 0.868 0.000
Be 0.868 0.632 0.000
Be 0.132 0.368 0.000
Pt 0.000 0.000 0.000
Pt 0.500 0.500 0.000

---

This record from the Alexandria database describes Pr2Y12Tm5 after structural relaxation. The functional is PBE.

The value obtained for the electronic total energy is -108.590 eV per cell. The symmetry is P-1. The calculation puts the formation energy at 1.1 kcal/mol of atoms.

Cell: 6.136 10.141 14.794 Å, 126.41 84.05 120.19°
Fractional coordinates of all 19 atoms:
Y 0.728 0.600 0.193
Y 0.259 0.058 0.297
Y 0.607 0.850 0.131
Y 0.393 0.150 0.869
Y 0.272 0.400 0.807
Y 0.062 0.375 0.034
Y 0.741 0.942 0.703
Y 0.108 0.740 0.556
Y 0.938 0.625 0.966
Y 0.892 0.260 0.444
Y 0.522 0.467 0.602
Y 0.478 0.533 0.398
Pr 0.259 0.132 0.100
Pr 0.741 0.868 0.900
Tm 0.145 0.667 0.750
Tm 0.638 0.205 0.654
Tm 0.000 0.000 0.500
Tm 0.855 0.333 0.250
Tm 0.362 0.795 0.346

---

This record from the Alexandria database describes CaGa4Pt8 after structural relaxation. The functional is PBE.

The value obtained for the electronic total energy is -70.071 eV per cell. The symmetry is I4/mmm. The calculation puts the formation energy at -13.5 kcal/mol of atoms.

Cell: 5.438 6.830 6.830 Å, 80.88 66.54 66.54°
Fractional coordinates of all 13 atoms:
Pt 0.000 0.663 0.337
Pt 0.663 0.337 0.337
Pt 0.500 0.225 0.775
Pt 0.500 0.775 0.225
Pt 0.725 0.775 0.775
Pt 0.275 0.225 0.225
Pt 0.000 0.337 0.663
Pt 0.337 0.663 0.663
Ga 0.000 0.000 0.500
Ga 0.500 0.000 0.500
Ga 0.000 0.500 0.000
Ga 0.500 0.500 0.000
Ca 0.000 0.000 0.000

---

This record from the Alexandria database describes Ce2Al9Fe3 after structural relaxation. The functional is PBE.

The value obtained for the electronic total energy is -152.870 eV per cell. The symmetry is C2/c. The calculation puts the formation energy at -9.1 kcal/mol of atoms.

Cell: 7.523 7.523 10.347 Å, 89.77 110.94 120.93°
Fractional coordinates of all 28 atoms:
Ce 0.343 0.249 0.752
Ce 0.998 0.591 0.748
Ce 0.002 0.409 0.252
Ce 0.657 0.751 0.248
Al 0.206 0.691 0.067
Al 0.548 0.356 0.073
Al 0.460 0.921 0.748
Al 0.674 0.713 0.752
Al 0.326 0.287 0.248
Al 0.794 0.309 0.933
Al 0.862 0.011 0.043
Al 0.532 0.181 0.543
Al 0.784 0.475 0.427
Al 0.138 0.989 0.957
Al 0.125 0.140 0.433
Al 0.875 0.860 0.567
Al 0.452 0.644 0.927
Al 0.216 0.525 0.573
Al 0.890 0.140 0.750
Al 0.468 0.819 0.457
Al 0.110 0.860 0.250
Al 0.540 0.079 0.252
Fe 0.175 0.346 0.004
Fe 0.825 0.654 0.996
Fe 0.500 0.500 0.500
Fe 0.842 0.172 0.496
Fe 0.500 0.000 0.000
Fe 0.158 0.828 0.504

---

This record from the Alexandria database describes Er2Mn3Si4 after structural relaxation. The functional is PBE.

The calculation puts the uncorrected formation energy at -522 meV per atom. The value obtained for the electronic total energy is -126.050 eV per cell. The symmetry is P2_1/c.

Cell: 6.637 6.536 6.558 Å, 90.00 90.00 110.24°
Fractional coordinates of all 18 atoms:
Er 0.054 0.188 0.168
Er 0.946 0.812 0.832
Er 0.554 0.188 0.332
Er 0.446 0.812 0.668
Si 0.627 0.482 0.647
Si 0.127 0.482 0.853
Si 0.373 0.518 0.353
Si 0.880 0.110 0.559
Si 0.380 0.110 0.941
Si 0.120 0.890 0.441
Si 0.873 0.518 0.147
Si 0.620 0.890 0.059
Mn 0.245 0.754 0.145
Mn 0.255 0.246 0.645
Mn 0.745 0.754 0.355
Mn 0.755 0.246 0.855
Mn 0.500 0.500 0.000
Mn 0.000 0.500 0.500

---

This record from the Alexandria database describes ZnInTeS after structural relaxation. The functional is PBE.

The calculation puts the uncorrected formation energy at -262 meV per atom. The value obtained for the electronic total energy is -12.328 eV per cell. The symmetry is Cm.

Cell: 4.077 4.077 8.002 Å, 90.00 90.00 60.00°
Fractional coordinates of all 4 atoms:
In 0.240 0.240 0.481
Zn 0.239 0.239 0.137
S 0.572 0.572 0.088
Te 0.906 0.906 0.678

---

This record from the Alexandria database describes Sm2DyPaS4 after structural relaxation. The functional is PBE.

The calculation puts the uncorrected formation energy at -1893 meV per atom. The value obtained for the electronic total energy is -55.191 eV per cell. The symmetry is P2/m.

Cell: 3.928 6.861 6.849 Å, 109.09 90.00 90.00°
Fractional coordinates of all 8 atoms:
S 0.000 0.749 0.243
S 0.000 0.251 0.757
S 0.500 0.247 0.241
S 0.500 0.753 0.759
Dy 0.000 0.000 0.000
Pa 0.500 0.500 0.000
Sm 0.500 0.000 0.500
Sm 0.000 0.500 0.500

---

This record from the Alexandria database describes CdRh2 after structural relaxation. The functional is PBE.

The value obtained for the electronic total energy is -15.434 eV per cell. The symmetry is Immm. The calculation puts the formation energy at 1.4 kcal/mol of atoms.

Cell: 4.962 4.962 4.962 Å, 146.60 133.91 58.10°
Fractional coordinates of all 3 atoms:
Cd 0.000 0.000 0.000
Rh 0.324 0.324 0.000
Rh 0.676 0.676 0.000

---

This record from the Alexandria database describes DyTiCdHg after structural relaxation. The functional is PBE.

The value obtained for the electronic total energy is -14.196 eV per cell. The symmetry is F-43m. The calculation puts the formation energy at -2.8 kcal/mol of atoms.

Cell: 5.035 5.035 5.035 Å, 60.00 60.00 60.00°
Fractional coordinates of all 4 atoms:
Ti 0.250 0.250 0.250
Dy 0.750 0.750 0.750
Cd 0.500 0.500 0.500
Hg 0.000 0.000 0.000

---

This record from the Alexandria database describes CoSb4Br after structural relaxation. The functional is PBE.

The calculation puts the uncorrected formation energy at 667 meV per atom. The value obtained for the electronic total energy is -21.267 eV per cell. The symmetry is F-43m.

Cell: 6.250 6.250 6.250 Å, 60.00 60.00 60.00°
Fractional coordinates of all 6 atoms:
Sb 0.854 0.382 0.382
Sb 0.382 0.382 0.382
Sb 0.382 0.854 0.382
Sb 0.382 0.382 0.854
Br 0.750 0.750 0.750
Co 0.000 0.000 0.000

---

This record from the Alexandria database describes CaTlAgN after structural relaxation. The functional is PBE.

The calculation puts the uncorrected formation energy at 40 meV per atom. The value obtained for the electronic total energy is -30.767 eV per cell. The symmetry is Amm2.

Cell: 3.776 4.733 9.341 Å, 90.00 90.00 90.00°
Fractional coordinates of all 8 atoms:
Tl 0.000 0.000 0.765
Tl 0.000 0.500 0.265
N 0.500 0.000 0.927
N 0.500 0.500 0.427
Ca 0.500 0.500 0.940
Ca 0.500 0.000 0.440
Ag 0.000 0.500 0.603
Ag 0.000 0.000 0.103

---

This record from the Alexandria database describes Ce2YTc9 after structural relaxation. The functional is PBE.

The value obtained for the electronic total energy is -111.634 eV per cell. The symmetry is P-1. The calculation puts the formation energy at 0.0 kcal/mol of atoms.

Cell: 5.289 5.186 9.546 Å, 74.47 75.98 60.60°
Fractional coordinates of all 12 atoms:
Tc 0.072 0.584 0.760
Tc 0.581 0.584 0.754
Tc 0.647 0.671 0.008
Tc 0.353 0.329 0.992
Tc 0.419 0.416 0.246
Tc 0.418 0.922 0.245
Tc 0.928 0.416 0.240
Tc 0.500 0.500 0.500
Tc 0.582 0.078 0.755
Ce 0.141 0.149 0.559
Ce 0.859 0.851 0.441
Y 0.000 0.000 0.000

---

This record from the Alexandria database describes ReSi2Ru after structural relaxation. The functional is PBE.

The calculation puts the uncorrected formation energy at -124 meV per atom. The value obtained for the electronic total energy is -33.066 eV per cell. The symmetry is P2/m.

Cell: 3.803 2.833 5.150 Å, 89.97 90.00 90.00°
Fractional coordinates of all 4 atoms:
Re 0.500 0.250 0.250
Ru 0.500 0.750 0.750
Si 0.000 0.752 0.014
Si 0.000 0.748 0.486

---

This record from the Alexandria database describes LaTlSi2 after structural relaxation. The functional is PBE.

The calculation puts the uncorrected formation energy at 98 meV per atom. The value obtained for the electronic total energy is -17.748 eV per cell. The symmetry is Fm-3m.

Cell: 5.128 5.128 5.128 Å, 60.00 60.00 60.00°
Fractional coordinates of all 4 atoms:
Tl 0.500 0.500 0.500
Si 0.750 0.750 0.750
Si 0.250 0.250 0.250
La 0.000 0.000 0.000

---

This record from the Alexandria database describes Ce2Th3In4 after structural relaxation. The functional is PBE.

The value obtained for the electronic total energy is -47.132 eV per cell. The symmetry is C2/m. The calculation puts the formation energy at -5.3 kcal/mol of atoms.

Cell: 4.708 5.850 10.577 Å, 75.09 90.00 66.27°
Fractional coordinates of all 9 atoms:
Th 0.664 0.671 0.569
Th 0.336 0.329 0.431
Th 0.000 0.000 0.000
In 0.329 0.342 0.102
In 0.994 0.012 0.668
In 0.671 0.658 0.898
In 0.006 0.988 0.332
Ce 0.334 0.332 0.783
Ce 0.666 0.668 0.217

---

This record from the Alexandria database describes TbGa3IrPd after structural relaxation. The functional is PBE.

The value obtained for the electronic total energy is -61.212 eV per cell. The symmetry is Cmcm. The calculation puts the formation energy at -10.9 kcal/mol of atoms.

Cell: 5.482 8.160 6.777 Å, 127.02 90.00 90.00°
Fractional coordinates of all 12 atoms:
Ir 0.750 0.910 0.819
Ir 0.250 0.090 0.181
Pd 0.250 0.552 0.104
Pd 0.750 0.448 0.896
Ga 0.750 0.681 0.362
Ga 0.000 0.239 0.000
Ga 0.500 0.761 0.000
Ga 0.000 0.761 0.000
Ga 0.250 0.319 0.638
Ga 0.500 0.239 0.000
Tb 0.750 0.193 0.386
Tb 0.250 0.807 0.614

---

This record from the Alexandria database describes Pr3Te2P after structural relaxation. The functional is PBE.

The calculation puts the uncorrected formation energy at -1504 meV per atom. The value obtained for the electronic total energy is -70.116 eV per cell. The symmetry is C2/c.

Cell: 7.563 7.681 7.681 Å, 118.79 99.82 99.82°
Fractional coordinates of all 12 atoms:
P 0.250 0.589 0.411
P 0.750 0.411 0.589
Te 0.750 0.080 0.920
Te 0.250 0.240 0.760
Te 0.750 0.760 0.240
Te 0.250 0.920 0.080
Pr 0.004 0.217 0.361
Pr 0.504 0.361 0.217
Pr 0.000 0.500 0.000
Pr 0.496 0.639 0.783
Pr 0.500 0.000 0.500
Pr 0.996 0.783 0.639

---

This record from the Alexandria database describes Rb2SO2F4 after structural relaxation. The functional is PBE.

The calculation puts the uncorrected formation energy at -1898 meV per atom. The value obtained for the electronic total energy is -40.547 eV per cell. The symmetry is C2/m.

Cell: 4.983 5.842 5.842 Å, 60.42 89.95 89.95°
Fractional coordinates of all 9 atoms:
F 0.295 0.700 0.147
F 0.705 0.853 0.300
F 0.295 0.147 0.700
F 0.705 0.300 0.853
Rb 0.788 0.335 0.335
Rb 0.212 0.665 0.665
O 0.676 0.882 0.882
O 0.324 0.118 0.118
S 0.500 0.000 0.000

---

This record from the Alexandria database describes Pr2ZnCu6 after structural relaxation. The functional is PBE.

The value obtained for the electronic total energy is -36.598 eV per cell. The symmetry is P-3m1. The calculation puts the formation energy at -3.0 kcal/mol of atoms.

Cell: 5.728 5.608 5.608 Å, 60.00 90.01 90.01°
Fractional coordinates of all 9 atoms:
Pr 0.843 0.667 0.667
Pr 0.157 0.333 0.333
Cu 0.343 0.359 0.821
Cu 0.657 0.179 0.641
Cu 0.658 0.179 0.179
Cu 0.342 0.821 0.821
Cu 0.343 0.821 0.359
Cu 0.657 0.641 0.179
Zn 0.000 0.000 0.000

---

This record from the Alexandria database describes YMgNi2 after structural relaxation. The functional is PBE.

The value obtained for the electronic total energy is -20.473 eV per cell. The symmetry is P2/m. The calculation puts the formation energy at -4.9 kcal/mol of atoms.

Cell: 7.225 4.555 3.285 Å, 90.00 63.06 129.06°
Fractional coordinates of all 4 atoms:
Ni 0.000 0.000 0.000
Ni 0.500 0.000 0.500
Y 0.000 0.500 0.500
Mg 0.500 0.500 0.000

---

no.,DOS(E_F) (states/eV per cell)
1,3.6
2,30.0
3,5.5
4,30.0
5,11.2
6,2.2
7,5.4
8,4.8
9,3.5
10,6.2
11,1.2
12,17.8
13,1.3
14,4.1
15,14.9
16,4.1
17,6.2
18,0.0
19,4.9
20,2.9